Entry from the Alexandria database: a relaxed structure of NbCr2HgSe (PBE-GGA).

Properties
Uncorrected formation energy   2.14 eV per atom
M_tot   1.96 μB/f.u.

Lattice parameters (Å, degrees): 4.8019 5.2175 4.8019 90.00 90.00 90.00
Fractional positions:
Cr (0.0000, 0.0000, 0.5000)
Cr (0.5000, 0.0000, 0.0000)
Hg (0.0000, 0.0000, 0.0000)
Nb (0.0000, 0.5000, 0.0000)
Se (0.5000, 0.5000, 0.5000)


Entry from the Alexandria database: a relaxed structure of Tb3PrNdEr (PBE-GGA).

Properties
M_tot   0.03 μB/f.u.

Lattice parameters (Å, degrees): 5.9511 6.3351 11.9077 90.00 90.00 118.01
Fractional positions:
Nd (0.5037, 0.0073, 0.2500)
Nd (0.4963, 0.9927, 0.7500)
Tb (0.1742, 0.3484, 0.7500)
Tb (0.6725, 0.3450, 0.5033)
Tb (0.3275, 0.6550, 0.4967)
Tb (0.3275, 0.6550, 0.0033)
Tb (0.8258, 0.6516, 0.2500)
Tb (0.6725, 0.3450, 0.9967)
Er (0.8302, 0.6605, 0.7500)
Er (0.1698, 0.3395, 0.2500)
Pr (0.0000, 0.0000, 0.0000)
Pr (0.0000, 0.0000, 0.5000)


Entry from the Alexandria database: a relaxed structure of HfNi2BiSe (PBE-GGA).

Properties
Uncorrected formation energy   1.00 eV per atom
M_tot   0.00 μB/f.u.

Lattice parameters (Å, degrees): 4.6336 5.8354 4.6336 90.00 90.00 90.00
Fractional positions:
Bi (0.0000, 0.5000, 0.0000)
Ni (0.0000, 0.0000, 0.5000)
Ni (0.5000, 0.0000, 0.0000)
Hf (0.0000, 0.0000, 0.0000)
Se (0.5000, 0.5000, 0.5000)


Entry from the Alexandria database: a relaxed structure of LiSiPbW2 (PBE-GGA).

Properties
Uncorrected formation energy   1.42 eV per atom
M_tot   0.00 μB/f.u.

Lattice parameters (Å, degrees): 4.5606 3.9377 4.5606 90.00 90.00 90.00
Fractional positions:
Si (0.0000, 0.5000, 0.0000)
W (0.0000, 0.0000, 0.5000)
W (0.5000, 0.0000, 0.0000)
Li (0.0000, 0.0000, 0.0000)
Pb (0.5000, 0.5000, 0.5000)


Entry from the Alexandria database: a relaxed structure of Rb2NbI2Br4 (PBE-GGA).

Properties
Uncorrected formation energy   -1.16 eV per atom
M_tot   1.00 μB/f.u.

Lattice parameters (Å, degrees): 7.8246 7.9151 7.9151 58.81 61.15 61.15
Fractional positions:
Rb (0.7211, 0.2537, 0.2537)
Rb (0.2789, 0.7463, 0.7463)
Nb (0.5000, 0.0000, 0.0000)
Br (0.2874, 0.7440, 0.2153)
Br (0.2874, 0.2153, 0.7440)
Br (0.7126, 0.7847, 0.2560)
Br (0.7126, 0.2560, 0.7847)
I (0.7861, 0.7544, 0.7544)
I (0.2139, 0.2456, 0.2456)


Entry from the Alexandria database: a relaxed structure of Pm2NdAlO (PBE-GGA).

Properties
Uncorrected formation energy   -1.33 eV per atom
M_tot   0.00 μB/f.u.

Lattice parameters (Å, degrees): 4.9386 4.8859 4.8859 90.00 90.00 90.00
Fractional positions:
Al (0.5000, 0.5000, 0.5000)
Nd (0.5000, 0.0000, 0.0000)
Pm (0.0000, 0.5000, 0.0000)
Pm (0.0000, 0.0000, 0.5000)
O (0.0000, 0.0000, 0.0000)


Entry from the Alexandria database: a relaxed structure of Mg2TlNi (PBE-GGA).

Properties
M_tot   0.00 μB/f.u.

Lattice parameters (Å, degrees): 5.0680 5.0680 5.0680 130.68 130.68 72.32
Fractional positions:
Tl (0.7500, 0.2500, 0.5000)
Mg (0.0000, 0.0000, 0.0000)
Mg (0.2500, 0.7500, 0.5000)
Ni (0.5000, 0.5000, 0.0000)


Entry from the Alexandria database: a relaxed structure of TbCo12B6 (PBE-GGA).

Properties
M_tot   6.81 μB/f.u.

Lattice parameters (Å, degrees): 5.9543 5.9543 5.9543 104.00 104.00 104.00
Fractional positions:
Co (0.4564, 0.1864, 0.4564)
Co (0.1323, 0.8677, 0.5000)
Co (0.5436, 0.5436, 0.8136)
Co (0.8677, 0.5000, 0.1323)
Co (0.5436, 0.8136, 0.5436)
Co (0.1864, 0.4564, 0.4564)
Co (0.4564, 0.4564, 0.1864)
Co (0.8136, 0.5436, 0.5436)
Co (0.8677, 0.1323, 0.5000)
Co (0.5000, 0.1323, 0.8677)
Co (0.1323, 0.5000, 0.8677)
Co (0.5000, 0.8677, 0.1323)
Tb (0.0000, 0.0000, 0.0000)
B (0.7675, 0.3225, 0.7675)
B (0.7675, 0.7675, 0.3225)
B (0.2325, 0.6775, 0.2325)
B (0.2325, 0.2325, 0.6775)
B (0.3225, 0.7675, 0.7675)
B (0.6775, 0.2325, 0.2325)


Entry from the Alexandria database: a relaxed structure of Ac3AgPtCl (PBE-GGA).

Properties
Uncorrected formation energy   -0.93 eV per atom
M_tot   0.00 μB/f.u.

Lattice parameters (Å, degrees): 4.5502 8.8154 10.1322 101.84 90.00 90.00
Fractional positions:
Ag (0.7500, 0.7999, 0.7592)
Ag (0.2500, 0.2001, 0.2408)
Ac (0.7500, 0.2923, 0.5299)
Ac (0.7500, 0.8944, 0.1259)
Ac (0.7500, 0.4345, 0.1578)
Ac (0.2500, 0.5655, 0.8422)
Ac (0.2500, 0.7077, 0.4701)
Ac (0.2500, 0.1056, 0.8741)
Pt (0.2500, 0.6675, 0.1501)
Pt (0.7500, 0.3325, 0.8499)
Cl (0.7500, 0.9112, 0.4144)
Cl (0.2500, 0.0888, 0.5856)


Entry from the Alexandria database: a relaxed structure of MnGe2Ir2 (PBE-GGA).

Properties
M_tot   3.70 μB/f.u.

Lattice parameters (Å, degrees): 7.3051 7.3051 2.8504 90.00 90.00 90.00
Fractional positions:
Mn (0.5000, 0.5000, 0.0000)
Mn (0.0000, 0.0000, 0.0000)
Ge (0.8466, 0.6534, 0.0000)
Ge (0.3466, 0.8466, 0.0000)
Ge (0.1534, 0.3466, 0.0000)
Ge (0.6534, 0.1534, 0.0000)
Ir (0.6449, 0.8551, 0.5000)
Ir (0.3551, 0.1449, 0.5000)
Ir (0.8551, 0.3551, 0.5000)
Ir (0.1449, 0.6449, 0.5000)


Entry from the Alexandria database: a relaxed structure of K2UNb2S6 (PBE-GGA).

Properties
Uncorrected formation energy   -1.23 eV per atom
M_tot   0.00 μB/f.u.

Lattice parameters (Å, degrees): 6.1568 6.1568 8.0146 96.65 96.65 117.95
Fractional positions:
S (0.9439, 0.5977, 0.3094)
S (0.5977, 0.9439, 0.3094)
S (0.4023, 0.0561, 0.6906)
S (0.7213, 0.7213, 0.7072)
S (0.0561, 0.4023, 0.6906)
S (0.2787, 0.2787, 0.2928)
K (0.8267, 0.1733, 0.0000)
K (0.1733, 0.8267, 0.0000)
U (0.0000, 0.0000, 0.5000)
Nb (0.3530, 0.6470, 0.5000)
Nb (0.6470, 0.3530, 0.5000)


Entry from the Alexandria database: a relaxed structure of Mg2Ga2Pd3 (PBE-GGA).

Properties
M_tot   0.00 μB/f.u.

Lattice parameters (Å, degrees): 4.4611 4.4561 7.4401 89.99 109.05 120.41
Fractional positions:
Pd (0.4744, 0.2389, 0.7426)
Pd (0.5256, 0.7611, 0.2574)
Pd (0.0000, 0.0000, 0.0000)
Mg (0.2262, 0.6140, 0.8548)
Mg (0.7738, 0.3860, 0.1452)
Ga (0.7224, 0.8628, 0.6214)
Ga (0.2776, 0.1372, 0.3786)


Entry from the Alexandria database: a relaxed structure of ReSi2Au (PBE-GGA).

Properties
Uncorrected formation energy   0.56 eV per atom
M_tot   0.00 μB/f.u.

Lattice parameters (Å, degrees): 5.5316 5.5316 6.8141 66.05 66.05 90.00
Fractional positions:
Au (0.0000, 0.0000, 0.0000)
Au (0.7500, 0.2500, 0.5000)
Si (0.3750, 0.3948, 0.7500)
Si (0.6052, 0.1250, 0.2500)
Si (0.8750, 0.8552, 0.7500)
Si (0.1448, 0.6250, 0.2500)
Re (0.2500, 0.7500, 0.5000)
Re (0.5000, 0.5000, 0.0000)


Entry from the Alexandria database: a relaxed structure of Ca2NdHo (PBE-GGA).

Properties
M_tot   0.00 μB/f.u.

Lattice parameters (Å, degrees): 5.6023 5.0846 5.0846 90.00 90.00 90.00
Fractional positions:
Nd (0.5000, 0.0000, 0.0000)
Ca (0.0000, 0.5000, 0.0000)
Ca (0.0000, 0.0000, 0.5000)
Ho (0.5000, 0.5000, 0.5000)


Entry from the Alexandria database: a relaxed structure of PaH3 (PBE-GGA).

Properties
M_tot   2.03 μB/f.u.

Lattice parameters (Å, degrees): 3.7386 3.7386 3.7386 60.00 60.00 60.00
Fractional positions:
H (0.7500, 0.7500, 0.7500)
H (0.2500, 0.2500, 0.2500)
H (0.0000, 0.0000, 0.0000)
Pa (0.5000, 0.5000, 0.5000)


Entry from the Alexandria database: a relaxed structure of CoSbTeI2 (PBE-GGA).

Properties
Uncorrected formation energy   0.37 eV per atom
M_tot   0.76 μB/f.u.

Lattice parameters (Å, degrees): 5.1680 5.1680 5.1700 90.00 90.00 90.00
Fractional positions:
Co (0.0000, 0.0000, 0.0000)
I (0.0000, 0.5000, 0.0000)
I (0.5000, 0.0000, 0.0000)
Sb (0.5000, 0.5000, 0.5000)
Te (0.0000, 0.0000, 0.5000)


| no. | calculated total energy (eV/cell) |
| --- | --- |
| 1 | -22.4 |
| 2 | -54.6 |
| 3 | -23.9 |
| 4 | -29.9 |
| 5 | -32.3 |
| 6 | -29.6 |
| 7 | -11.2 |
| 8 | -136.6 |
| 9 | -57.2 |
| 10 | -72.6 |
| 11 | -72.0 |
| 12 | -29.3 |
| 13 | -48.6 |
| 14 | -12.7 |
| 15 | -20.6 |
| 16 | -15.6 |